[1]
Below is an optimized crystal structure of Ti2TlH, with properties calculated at the PBE-GGA level.

## Properties
Its total energy is -5.5265 eV/atom. The value obtained for the total magnetization is 0.00 μB per formula unit. For the energy above the lowest structure with this stoichiometry, the calculation gives 0.000 eV/atom.

a b c (Å): 7.323 7.323 4.789
angles (deg): 90.00 90.00 152.91
Sites, in units of the cell vectors:
Ti 0.080 0.920 0.500
Ti 0.262 0.738 0.011
Ti 0.738 0.262 0.511
Ti 0.920 0.080 0.000
Tl 0.406 0.594 0.496
Tl 0.594 0.406 0.996
H 0.205 0.795 0.377
H 0.795 0.205 0.877

[2]
Below is an optimized crystal structure of Ce3Sb3Te, with properties calculated at the PBE-GGA level.

## Properties
The calculation puts the raw formation energy at -0.81 eV/atom. Its total energy is -5.5641 eV/atom. The value obtained for the total magnetization is 2.50 μB per formula unit.

a b c (Å): 6.539 6.539 6.539
angles (deg): 109.22 109.22 109.22
Sites, in units of the cell vectors:
Ce 0.000 0.500 0.500
Ce 0.500 0.000 0.500
Ce 0.500 0.500 0.000
Sb 0.000 0.000 0.500
Sb 0.000 0.500 0.000
Sb 0.500 0.000 0.000
Te 0.501 0.501 0.501

[3]
Below is an optimized crystal structure of Li2PmGa4, with properties calculated at the PBE-GGA level.

## Properties
The formation enthalpy at 0 K comes out at -418 meV per atom. Its total energy is -3.3729 eV/atom. The value obtained for the total magnetization is 0.00 μB per formula unit. For the energy above the lowest structure with this stoichiometry, the calculation gives 0.000 eV/atom.

a b c (Å): 5.648 5.648 5.648
angles (deg): 101.21 101.21 127.69
Sites, in units of the cell vectors:
Li 0.250 0.750 0.500
Li 0.750 0.250 0.500
Pm 0.000 0.000 0.000
Ga 0.306 0.306 0.613
Ga 0.306 0.694 0.000
Ga 0.694 0.306 0.000
Ga 0.694 0.694 0.387